#a
Compound: Li2AlPPd
Source: the Alexandria database
Functional: PBE-GGA
Structure: optimized geometry

Cell: 4.6669 4.6669 4.5037 Å, 90.00 90.00 90.00°
Closest atoms and distances in Å follow each position.
Space group P4/mmm (No. 123)
One atom of each set of equivalent atoms:
1 Li 0.0000 0.5000 0.0000 (multiplicity 2)  2 Al 2.33
2 Al 0.0000 0.0000 0.0000 (multiplicity 1)  2 Pd 2.25, 4 Li 2.33
3 P 0.5000 0.5000 0.5000 (multiplicity 1)  8 Li 3.24, 4 Pd 3.30
4 Pd 0.0000 0.0000 0.5000 (multiplicity 1)  2 Al 2.25

Values from the calculation:
Its total moment is 0.00 μB per cell.


#b
Compound: Li2AlPPd
Source: the Alexandria database
Functional: PBE-GGA
Structure: optimized geometry

Cell: 4.7476 4.7476 4.4786 Å, 90.00 90.00 90.00°
Closest atoms and distances in Å follow each position.
Space group P4/mmm (No. 123)
One atom of each set of equivalent atoms:
1 Li 0.0000 0.5000 0.0000 (multiplicity 2)  2 Al 2.37
2 Al 0.0000 0.0000 0.0000 (multiplicity 1)  2 P 2.24, 4 Li 2.37
3 P 0.0000 0.0000 0.5000 (multiplicity 1)  2 Al 2.24
4 Pd 0.5000 0.5000 0.5000 (multiplicity 1)  8 Li 3.26, 4 P 3.36

Values from the calculation:
Its total moment is 0.00 μB per cell.


Decreasing stability: #a, #b


#a
Compound: LiPaAl
Source: the Alexandria database
Functional: PBE-GGA
Structure: optimized geometry

Cell: 4.8001 4.8001 3.0114 Å, 90.00 90.00 120.00°
Closest atoms and distances in Å follow each position.
Space group P-6m2 (No. 187)
One atom of each set of equivalent atoms:
1 Li 0.0000 0.0000 0.0000 (multiplicity 1)  3 Al 2.77, 2 Li 3.01
2 Pa 0.6667 0.3333 0.5000 (multiplicity 1)  2 Pa 3.01, 6 Li 3.15, 6 Al 3.15
3 Al 0.3333 0.6667 0.0000 (multiplicity 1)  3 Li 2.77, 2 Al 3.01

Values from the calculation:
Its total moment is 0.68 μB per cell.


#b
Compound: LiPaAl
Source: the Alexandria database
Functional: PBE-GGA
Structure: optimized geometry

Cell: 2.9654 2.9654 13.2460 Å, 90.00 90.00 90.00°
Closest atoms and distances in Å follow each position.
Space group I4mm (No. 107)
One atom of each set of equivalent atoms:
1 Li 0.0000 0.0000 0.0000 (multiplicity 2)  4 Al 2.75, 4 Li 2.97
2 Pa 0.0000 0.0000 0.3064 (multiplicity 2)  4 Pa 2.97, 4 Al 3.10, 4 Li 3.31
3 Al 0.0000 0.0000 0.6341 (multiplicity 2)  4 Li 2.75, 4 Al 2.97

Values from the calculation:
Its total moment is 0.00 μB per cell.


Decreasing stability: #b, #a


#a
Compound: LiAl2Pb2
Source: the Alexandria database
Functional: PBE-GGA
Structure: optimized geometry

Cell: 8.2143 8.2143 3.6898 Å, 90.00 90.00 90.00°
Closest atoms and distances in Å follow each position.
Space group P4/mbm (No. 127)
One atom of each set of equivalent atoms:
1 Li 0.0000 0.0000 0.0000 (multiplicity 2)  4 Pb 3.04
2 Al 0.1238 0.3762 0.5000 (multiplicity 4)  1 Al 2.88, 6 Pb 3.01-3.07
3 Pb 0.1713 0.6713 0.0000 (multiplicity 4)  6 Al 3.01-3.07, 2 Li 3.04

Values from the calculation:
Its total moment is 0.00 μB per cell.


#b
Compound: LiAl2Pb2
Source: the Alexandria database
Functional: PBE-GGA
Structure: optimized geometry

Cell: 7.5557 7.5557 4.2559 Å, 90.00 90.00 90.00°
Closest atoms and distances in Å follow each position.
Space group P4/mbm (No. 127)
One atom of each set of equivalent atoms:
1 Li 0.0000 0.0000 0.0000 (multiplicity 2)  4 Al 2.99
2 Al 0.1234 0.3766 0.0000 (multiplicity 4)  1 Al 2.64
3 Pb 0.1823 0.6823 0.5000 (multiplicity 4)  6 Al 2.97-3.17

Values from the calculation:
Its total moment is 0.00 μB per cell.


Decreasing stability: #b, #a